A plane-wave DFT calculation with PBEsol was carried out for a geometry-optimized SrCdIn2Bi structure.

The structure in CIF format:
```
data_SrCdIn2Bi
_cell_length_a 5.998
_cell_length_b 6.172
_cell_length_c 6.172
_cell_angle_alpha 90.00
_cell_angle_beta 90.00
_cell_angle_gamma 90.00
_space_group_name_H-M_alt 'P 1'
_space_group_IT_number 1
loop_
_space_group_symop_operation_xyz
'x,y,z'
loop_
_atom_site_label
_atom_site_type_symbol
_atom_site_fract_x
_atom_site_fract_y
_atom_site_fract_z
_atom_site_occupancy
Sr1 Sr 0.000 0.000 0.000 1
Cd1 Cd 0.500 0.500 0.500 1
Bi1 Bi 0.500 0.000 0.000 1
In1 In 0.000 0.000 0.500 1
In2 In 0.000 0.500 0.000 1
```

Final energy   -1.92 eV/atom



A plane-wave DFT calculation with PBEsol was carried out for a geometry-optimized FeRhNCl2 structure.

The structure in CIF format:
```
data_FeRhNCl2
_cell_length_a 4.613
_cell_length_b 4.613
_cell_length_c 4.780
_cell_angle_alpha 90.00
_cell_angle_beta 90.00
_cell_angle_gamma 90.00
_space_group_name_H-M_alt 'P 1'
_space_group_IT_number 1
loop_
_space_group_symop_operation_xyz
'x,y,z'
loop_
_atom_site_label
_atom_site_type_symbol
_atom_site_fract_x
_atom_site_fract_y
_atom_site_fract_z
_atom_site_occupancy
N1 N 0.500 0.500 0.500 1
Rh1 Rh 0.000 0.000 0.000 1
Fe1 Fe 0.000 0.000 0.500 1
Cl1 Cl 0.000 0.500 0.000 1
Cl2 Cl 0.500 0.000 0.000 1
```

Final energy   -4.52 eV/atom



A plane-wave DFT calculation with PBEsol was carried out for a geometry-optimized CdCo3Pd structure.

The structure in CIF format:
```
data_CdCo3Pd
_cell_length_a 4.488
_cell_length_b 4.488
_cell_length_c 4.488
_cell_angle_alpha 90.00
_cell_angle_beta 90.00
_cell_angle_gamma 90.00
_space_group_name_H-M_alt 'P 1'
_space_group_IT_number 1
loop_
_space_group_symop_operation_xyz
'x,y,z'
loop_
_atom_site_label
_atom_site_type_symbol
_atom_site_fract_x
_atom_site_fract_y
_atom_site_fract_z
_atom_site_occupancy
Co1 Co 0.000 0.500 0.000 1
Co2 Co 0.000 0.000 0.500 1
Co3 Co 0.500 0.000 0.000 1
Pd1 Pd 0.000 0.000 0.000 1
Cd1 Cd 0.500 0.500 0.500 1
```

Final energy   -4.71 eV/atom



A plane-wave DFT calculation with PBEsol was carried out for a geometry-optimized AlTe3O structure.

The structure in CIF format:
```
data_AlTe3O
_cell_length_a 5.201
_cell_length_b 5.201
_cell_length_c 5.201
_cell_angle_alpha 90.00
_cell_angle_beta 90.00
_cell_angle_gamma 90.00
_space_group_name_H-M_alt 'P 1'
_space_group_IT_number 1
loop_
_space_group_symop_operation_xyz
'x,y,z'
loop_
_atom_site_label
_atom_site_type_symbol
_atom_site_fract_x
_atom_site_fract_y
_atom_site_fract_z
_atom_site_occupancy
Te1 Te 0.000 0.500 0.000 1
Te2 Te 0.000 0.000 0.500 1
Te3 Te 0.500 0.000 0.000 1
Al1 Al 0.000 0.000 0.000 1
O1 O 0.500 0.500 0.500 1
```

Final energy   -3.19 eV/atom



A plane-wave DFT calculation with PBEsol was carried out for a geometry-optimized ZrInFe2 structure.

The structure in CIF format:
```
data_ZrInFe2
_cell_length_a 3.768
_cell_length_b 3.768
_cell_length_c 5.097
_cell_angle_alpha 111.69
_cell_angle_beta 111.69
_cell_angle_gamma 90.00
_space_group_name_H-M_alt 'P 1'
_space_group_IT_number 1
loop_
_space_group_symop_operation_xyz
'x,y,z'
loop_
_atom_site_label
_atom_site_type_symbol
_atom_site_fract_x
_atom_site_fract_y
_atom_site_fract_z
_atom_site_occupancy
Fe1 Fe 0.000 0.000 0.000 1
Fe2 Fe 0.750 0.250 0.500 1
In1 In 0.500 0.500 0.000 1
Zr1 Zr 0.250 0.750 0.500 1
```

Final energy   -7.42 eV/atom



A plane-wave DFT calculation with PBEsol was carried out for a geometry-optimized Ga3Si structure.

The structure in CIF format:
```
data_Ga3Si
_cell_length_a 4.582
_cell_length_b 4.582
_cell_length_c 4.582
_cell_angle_alpha 60.00
_cell_angle_beta 60.00
_cell_angle_gamma 60.00
_space_group_name_H-M_alt 'P 1'
_space_group_IT_number 1
loop_
_space_group_symop_operation_xyz
'x,y,z'
loop_
_atom_site_label
_atom_site_type_symbol
_atom_site_fract_x
_atom_site_fract_y
_atom_site_fract_z
_atom_site_occupancy
Ga1 Ga 0.250 0.250 0.250 1
Ga2 Ga 0.750 0.750 0.750 1
Ga3 Ga 0.500 0.500 0.500 1
Si1 Si 0.000 0.000 0.000 1
```

Final energy   -3.77 eV/atom



A plane-wave DFT calculation with PBEsol was carried out for a geometry-optimized MgCo2W structure.

The structure in CIF format:
```
data_MgCo2W
_cell_length_a 2.773
_cell_length_b 2.772
_cell_length_c 6.771
_cell_angle_alpha 90.00
_cell_angle_beta 90.00
_cell_angle_gamma 90.00
_space_group_name_H-M_alt 'P 1'
_space_group_IT_number 1
loop_
_space_group_symop_operation_xyz
'x,y,z'
loop_
_atom_site_label
_atom_site_type_symbol
_atom_site_fract_x
_atom_site_fract_y
_atom_site_fract_z
_atom_site_occupancy
Co1 Co 0.000 0.000 0.738 1
Co2 Co 0.000 0.000 0.262 1
Mg1 Mg 0.500 0.500 0.000 1
W1 W 0.500 0.500 0.500 1
```

Final energy   -7.68 eV/atom



A plane-wave DFT calculation with PBEsol was carried out for a geometry-optimized TiZnFe3 structure.

The structure in CIF format:
```
data_TiZnFe3
_cell_length_a 4.289
_cell_length_b 4.289
_cell_length_c 4.289
_cell_angle_alpha 90.00
_cell_angle_beta 90.00
_cell_angle_gamma 90.00
_space_group_name_H-M_alt 'P 1'
_space_group_IT_number 1
loop_
_space_group_symop_operation_xyz
'x,y,z'
loop_
_atom_site_label
_atom_site_type_symbol
_atom_site_fract_x
_atom_site_fract_y
_atom_site_fract_z
_atom_site_occupancy
Zn1 Zn 0.000 0.000 0.000 1
Fe1 Fe 0.000 0.500 0.000 1
Fe2 Fe 0.000 0.000 0.500 1
Fe3 Fe 0.500 0.000 0.000 1
Ti1 Ti 0.500 0.500 0.500 1
```

Final energy   -6.26 eV/atom



A plane-wave DFT calculation with PBEsol was carried out for a geometry-optimized Rb2PrAgCl6 structure.

The structure in CIF format:
```
data_Rb2PrAgCl6
_cell_length_a 7.580
_cell_length_b 7.580
_cell_length_c 7.580
_cell_angle_alpha 60.00
_cell_angle_beta 60.00
_cell_angle_gamma 60.00
_space_group_name_H-M_alt 'P 1'
_space_group_IT_number 1
loop_
_space_group_symop_operation_xyz
'x,y,z'
loop_
_atom_site_label
_atom_site_type_symbol
_atom_site_fract_x
_atom_site_fract_y
_atom_site_fract_z
_atom_site_occupancy
Rb1 Rb 0.750 0.750 0.750 1
Rb2 Rb 0.250 0.250 0.250 1
Pr1 Pr 0.500 0.500 0.500 1
Ag1 Ag 0.000 0.000 0.000 1
Cl1 Cl 0.753 0.247 0.247 1
Cl2 Cl 0.753 0.753 0.247 1
Cl3 Cl 0.247 0.753 0.753 1
Cl4 Cl 0.753 0.247 0.753 1
Cl5 Cl 0.247 0.753 0.247 1
Cl6 Cl 0.247 0.247 0.753 1
```

Final energy   -4.01 eV/atom



A plane-wave DFT calculation with PBEsol was carried out for a geometry-optimized KBBr3 structure.

The structure in CIF format:
```
data_KBBr3
_cell_length_a 5.906
_cell_length_b 5.906
_cell_length_c 5.906
_cell_angle_alpha 90.00
_cell_angle_beta 90.00
_cell_angle_gamma 90.00
_space_group_name_H-M_alt 'P 1'
_space_group_IT_number 1
loop_
_space_group_symop_operation_xyz
'x,y,z'
loop_
_atom_site_label
_atom_site_type_symbol
_atom_site_fract_x
_atom_site_fract_y
_atom_site_fract_z
_atom_site_occupancy
K1 K 0.000 0.000 0.000 1
B1 B 0.500 0.500 0.500 1
Br1 Br 0.000 0.500 0.000 1
Br2 Br 0.000 0.000 0.500 1
Br3 Br 0.500 0.000 0.000 1
```

Final energy   -1.93 eV/atom



A plane-wave DFT calculation with PBEsol was carried out for a geometry-optimized SrSiP2 structure.

The structure in CIF format:
```
data_SrSiP2
_cell_length_a 3.924
_cell_length_b 4.399
_cell_length_c 4.399
_cell_angle_alpha 90.00
_cell_angle_beta 90.00
_cell_angle_gamma 90.00
_space_group_name_H-M_alt 'P 1'
_space_group_IT_number 1
loop_
_space_group_symop_operation_xyz
'x,y,z'
loop_
_atom_site_label
_atom_site_type_symbol
_atom_site_fract_x
_atom_site_fract_y
_atom_site_fract_z
_atom_site_occupancy
Sr1 Sr 0.500 0.000 0.000 1
Si1 Si 0.500 0.500 0.500 1
P1 P 0.000 0.000 0.500 1
P2 P 0.000 0.500 0.000 1
```

Final energy   -4.84 eV/atom



A plane-wave DFT calculation with PBEsol was carried out for a geometry-optimized YAgO3 structure.

The structure in CIF format:
```
data_YAgO3
_cell_length_a 5.417
_cell_length_b 6.528
_cell_length_c 7.042
_cell_angle_alpha 90.00
_cell_angle_beta 90.00
_cell_angle_gamma 90.00
_space_group_name_H-M_alt 'P 1'
_space_group_IT_number 1
loop_
_space_group_symop_operation_xyz
'x,y,z'
loop_
_atom_site_label
_atom_site_type_symbol
_atom_site_fract_x
_atom_site_fract_y
_atom_site_fract_z
_atom_site_occupancy
Y1 Y 0.019 0.902 0.750 1
Y2 Y 0.519 0.598 0.250 1
Y3 Y 0.481 0.402 0.750 1
Y4 Y 0.981 0.098 0.250 1
Ag1 Ag 0.000 0.500 0.500 1
Ag2 Ag 0.500 0.000 0.500 1
Ag3 Ag 0.500 0.000 0.000 1
Ag4 Ag 0.000 0.500 0.000 1
O1 O 0.688 0.351 0.446 1
O2 O 0.188 0.149 0.554 1
O3 O 0.812 0.851 0.054 1
O4 O 0.312 0.649 0.946 1
O5 O 0.312 0.649 0.554 1
O6 O 0.812 0.851 0.446 1
O7 O 0.188 0.149 0.946 1
O8 O 0.688 0.351 0.054 1
O9 O 0.153 0.420 0.250 1
O10 O 0.653 0.080 0.750 1
O11 O 0.347 0.920 0.250 1
O12 O 0.847 0.580 0.750 1
```

Final energy   -6.98 eV/atom